DFT (PBE) results for a relaxed SrPrIn2Se4 crystal.

Geometry as CIF:
```
data_SrPrIn2Se4
_chemical_formula_sum 'Sr1 Pr1 In2 Se4'
_cell_length_a 7.6750
_cell_length_b 4.3292
_cell_length_c 7.6921
_cell_angle_alpha 90.00
_cell_angle_beta 108.77
_cell_angle_gamma 90.00
_symmetry_space_group_name_H-M 'P 1 2/m 1'
_symmetry_Int_Tables_number 10
loop_
_symmetry_equiv_pos_as_xyz
'x,y,z'
'-x,-y,-z'
'-x,y,-z'
'x,-y,z'
loop_
_atom_site_label
_atom_site_fract_x
_atom_site_fract_y
_atom_site_fract_z
_atom_site_occupancy
Sr1 0.0000 0.0000 0.0000 1
Pr1 0.5000 0.5000 0.0000 1
In1 0.0000 0.5000 0.5000 1
In2 0.5000 0.0000 0.5000 1
Se1 0.2665 0.5000 0.2440 1
Se2 0.2726 0.0000 0.7662 1
```

Output
The value obtained for the theoretical density is 5.3 Mg/m³. Its total energy is -4.43 eV per atom. As for the uncorrected formation energy: -1.19 eV/atom. As for the spin magnetization: 0.0000 μB per atom. As for the volume: 242 Å³ per cell.